No. 1
Entry from OQMD via LeMat-Bulk: InPd5Se after structural relaxation (GGA-PBE).

abc: 4.0693 4.0693 7.0626
angles: 90.00 90.00 90.00
Space group P4/mmm (No. 123)
Unique sites:
In 0.0000 0.0000 0.0000 (multiplicity 1)
Pd 0.0000 0.5000 0.2809 (multiplicity 4)
Pd 0.5000 0.5000 0.0000 (multiplicity 1)
Se 0.5000 0.5000 0.5000 (multiplicity 1)

Output
Raw total energy: -4.962 eV per atom

***

No. 2
Entry from OQMD via LeMat-Bulk: InPdSe2 after structural relaxation (GGA-PBE).

abc: 3.5130 3.5130 9.1171
angles: 90.00 90.00 120.00
Space group P-6m2 (No. 187)
Unique sites:
In 0.0000 0.0000 0.0000 (multiplicity 1)
Pd 0.3333 0.6667 0.5000 (multiplicity 1)
Se 0.0000 0.0000 0.3267 (multiplicity 2)

Output
Raw total energy: -3.740 eV per atom

***

Q: Which value of raw total energy does entry 1 give?
A: -4.962 eV per atom